{"formula": "Nd2AlCrS6", "functional": "GGA-PBE", "state": "optimized geometry", "lattice": [[6.359, 0.000, 0.000], [0.000, 6.908, 0.000], [-6.274, 0.000, 9.181]], "species": ["Nd", "Nd", "Nd", "Nd", "Al", "Al", "Cr", "Cr", "S", "S", "S", "S", "S", "S", "S", "S", "S", "S", "S", "S"], "frac_coords": [[0.215, 0.098, 0.251], [0.215, 0.402, 0.751], [0.785, 0.598, 0.249], [0.785, 0.902, 0.749], [0.500, 0.000, 0.000], [0.500, 0.500, 0.500], [0.000, 0.000, 0.500], [0.000, 0.500, 0.000], [0.133, 0.189, 0.950], [0.133, 0.311, 0.450], [0.264, 0.690, 0.950], [0.264, 0.810, 0.450], [0.359, 0.017, 0.750], [0.359, 0.483, 0.250], [0.641, 0.517, 0.750], [0.641, 0.983, 0.250], [0.736, 0.190, 0.550], [0.736, 0.310, 0.050], [0.867, 0.689, 0.550], [0.867, 0.811, 0.050]], "e_form_raw_ev_per_fu": -14.49, "e_tot_ev_per_atom": -6.216, "sg": "P2_1/c, No. 14", "mass_density_g_cm3": 4.61}